A geometry-optimized SrHg4 structure. Source: the Alexandria database, functional PBE.

a = 7.1440 Å, b = 5.4645 Å, c = 8.9464 Å
α = 126.79°, β = 90.00°, γ = 90.00°
Atoms (fractional coordinates):
Hg 0.7970 0.4435 0.4477
Hg 0.2970 0.5565 0.0523
Hg 0.5521 0.7936 0.7972
Hg 0.2030 0.5565 0.5523
Hg 0.9479 0.7936 0.2972
Hg 0.7030 0.4435 0.9477
Hg 0.0521 0.2064 0.7028
Hg 0.4479 0.2064 0.2028
Sr 0.5000 0.0000 0.5000
Sr 0.0000 0.0000 0.0000

Summary:
Symmetry: P2_1/c, No. 14
Energy of formation, eV/f.u.: -1.66
Theoretical density, Mg/m³: 10.57
Crystal system: monoclinic

=====

A geometry-optimized SrHg structure. Source: the Alexandria database, functional PBE.

a = 5.8953 Å, b = 5.8953 Å, c = 9.0825 Å
α = 90.00°, β = 90.00°, γ = 120.00°
Atoms (fractional coordinates):
Hg 0.3333 0.6667 0.0925
Hg 0.6667 0.3333 0.5925
Hg 0.6667 0.3333 0.9075
Hg 0.3333 0.6667 0.4075
Sr 0.0000 0.0000 0.7500
Sr 0.0000 0.0000 0.2500
Sr 0.6667 0.3333 0.2500
Sr 0.3333 0.6667 0.7500

Summary:
Symmetry: P6_3/mmc, No. 194
Energy of formation, eV/f.u.: -0.26
Theoretical density, Mg/m³: 7.00
Crystal system: hexagonal